Here is a relaxed structure of CaYOs2S from Alexandria. Energies are from PBE. Values from VASP.

ΔE_f (raw): 0.257 eV per atom
Total magnetic moment: 0.00 μB per atom

The structure in Quantum ESPRESSO input format:
```
&SYSTEM
  ibrav = 0, nat = 5, ntyp = 4
/
ATOMIC_SPECIES
Y 88.91 Y.upf
Ca 40.08 Ca.upf
Os 190.23 Os.upf
S 32.06 S.upf
ATOMIC_POSITIONS crystal
Y 0.5000 0.5000 0.5000
Ca 0.0000 0.5000 0.0000
Os 0.0000 0.0000 0.5000
Os 0.5000 0.0000 0.0000
S 0.0000 0.0000 0.0000
CELL_PARAMETERS angstrom
-1.0788 3.5822 -2.5144
-3.8485 -2.4258 -1.8048
-2.5672 1.5794 3.3516
```